<1>
Computed, not measured: an optimized crystal structure of TiBiB3 at the PBE level of DFT.

```
TiBiB3
1.0
4.2567 0.0000 0.0000
0.0000 4.2567 0.0000
0.0000 0.0000 4.2567
Ti Bi B
1 1 3
Cartesian
0.0000 0.0000 0.0000
2.1284 2.1284 2.1284
0.0000 0.0000 2.1284
0.0000 2.1284 0.0000
2.1284 0.0000 0.0000
```

Properties
The calculation puts the magnetic moment at 0.00 μB per cell. For the density of states at the Fermi level, the calculation gives 1.2 states/eV/f.u. The symmetry is Pm-3m.



<2>
Computed, not measured: an optimized crystal structure of TiBiB3 at the PBE level of DFT.

```
TiBiB3
1.0
4.5648 0.0000 0.0000
0.0000 4.5648 0.0000
0.0000 0.0000 4.5648
Ti Bi B
1 1 3
Cartesian
0.0000 0.0000 0.0000
2.2824 2.2824 2.2824
0.0000 2.2824 2.2824
2.2824 0.0000 2.2824
2.2824 2.2824 0.0000
```

Properties
The calculation puts the magnetic moment at 0.00 μB per cell. For the density of states at the Fermi level, the calculation gives 6.9 states/eV/f.u. The symmetry is Pm-3m.



Least stable structure: <2>